Below is a relaxed structure of MnAlHgF6, with properties calculated at the PBE with a Hubbard U level.

Cell lengths 5.426, 5.426, 11.163 Å; angles 90.00, 90.00, 120.00 degrees
Element x y z (fractional)
Mn1 0.333 0.667 0.250
Mn2 0.667 0.333 0.750
Al1 0.333 0.667 0.750
Al2 0.667 0.333 0.250
Hg1 0.000 0.000 0.000
Hg2 0.000 0.000 0.500
F1 0.042 0.399 0.657
F2 0.042 0.642 0.843
F3 0.358 0.399 0.843
F4 0.358 0.958 0.657
F5 0.399 0.042 0.157
F6 0.399 0.358 0.343
F7 0.601 0.642 0.657
F8 0.601 0.958 0.843
F9 0.642 0.042 0.343
F10 0.642 0.601 0.157
F11 0.958 0.358 0.157
F12 0.958 0.601 0.343

Properties
- Space-group type: P-31c, No. 163
- Total energy: -5.15 eV/atom
- Size of the total moment: 0.465 μB/atom